Record 1
An optimized crystal structure of SnPHS. Source: the Alexandria database, functional PBE.

```
data_SnPHS
_chemical_formula_sum 'Sn1 P1 H1 S1'
_cell_length_a 3.991
_cell_length_b 3.992
_cell_length_c 6.943
_cell_angle_alpha 88.55
_cell_angle_beta 88.02
_cell_angle_gamma 61.60
_space_group_name_H-M_alt 'P 1'
_space_group_IT_number 1
loop_
_space_group_symop_operation_xyz
'x,y,z'
loop_
_atom_site_label
_atom_site_type_symbol
_atom_site_fract_x
_atom_site_fract_y
_atom_site_fract_z
P1 P 0.342 0.611 0.712
S1 S 0.354 0.636 0.019
H1 H 0.158 0.441 0.057
Sn1 Sn 0.688 0.952 0.527
```

Its energy relative to the lowest polymorph listed for this composition is 70 meV/atom.

Record 2
An optimized crystal structure of RbLa2SnO5. Source: the Alexandria database, functional PBE.

```
data_RbLa2SnO5
_chemical_formula_sum 'Rb2 La4 Sn2 O10'
_cell_length_a 6.306
_cell_length_b 7.059
_cell_length_c 7.059
_cell_angle_alpha 90.00
_cell_angle_beta 90.00
_cell_angle_gamma 90.00
_space_group_name_H-M_alt 'P 1'
_space_group_IT_number 1
loop_
_space_group_symop_operation_xyz
'x,y,z'
loop_
_atom_site_label
_atom_site_type_symbol
_atom_site_fract_x
_atom_site_fract_y
_atom_site_fract_z
Rb1 Rb 0.000 0.500 0.500
O1 O 0.257 0.639 0.861
La1 La 0.500 0.182 0.318
O2 O 0.743 0.139 0.639
O3 O 0.257 0.139 0.639
La2 La 0.500 0.682 0.182
O4 O 0.500 0.000 0.000
O5 O 0.743 0.639 0.861
Rb2 Rb 0.000 0.000 0.000
O6 O 0.257 0.361 0.139
O7 O 0.743 0.861 0.361
O8 O 0.743 0.361 0.139
Sn1 Sn 0.000 0.000 0.500
La3 La 0.500 0.818 0.682
La4 La 0.500 0.318 0.818
O9 O 0.500 0.500 0.500
Sn2 Sn 0.000 0.500 0.000
O10 O 0.257 0.861 0.361
```

The uncorrected formation energy is -2.3344 eV per atom.

Record 3
An optimized crystal structure of K2CrSe. Source: the Alexandria database, functional PBE.

```
data_K2CrSe
_chemical_formula_sum 'K2 Cr1 Se1'
_cell_length_a 4.704
_cell_length_b 5.373
_cell_length_c 6.409
_cell_angle_alpha 65.23
_cell_angle_beta 90.00
_cell_angle_gamma 90.00
_space_group_name_H-M_alt 'P 1'
_space_group_IT_number 1
loop_
_space_group_symop_operation_xyz
'x,y,z'
loop_
_atom_site_label
_atom_site_type_symbol
_atom_site_fract_x
_atom_site_fract_y
_atom_site_fract_z
Se1 Se 0.000 0.661 0.554
K1 K 0.000 0.972 0.931
K2 K 0.500 0.273 0.329
Cr1 Cr 0.500 0.595 0.686
```

The uncorrected formation energy is -0.1819 eV per atom.

Record 4
An optimized crystal structure of DySnAuS. Source: the Alexandria database, functional PBE.

```
data_DySnAuS
_chemical_formula_sum 'Dy2 Sn2 Au2 S2'
_cell_length_a 4.539
_cell_length_b 4.539
_cell_length_c 11.571
_cell_angle_alpha 78.69
_cell_angle_beta 78.69
_cell_angle_gamma 60.00
_space_group_name_H-M_alt 'P 1'
_space_group_IT_number 1
loop_
_space_group_symop_operation_xyz
'x,y,z'
loop_
_atom_site_label
_atom_site_type_symbol
_atom_site_fract_x
_atom_site_fract_y
_atom_site_fract_z
S1 S 0.197 0.197 0.409
Sn1 Sn 0.300 0.300 0.101
Dy1 Dy 0.885 0.885 0.344
Sn2 Sn 0.700 0.700 0.899
Au1 Au 0.388 0.388 0.836
Au2 Au 0.612 0.612 0.164
S2 S 0.803 0.803 0.591
Dy2 Dy 0.115 0.115 0.656
```

The uncorrected formation energy is -1.0149 eV per atom.

Record 5
An optimized crystal structure of CdFe2Cl. Source: the Alexandria database, functional PBE.

```
data_CdFe2Cl
_chemical_formula_sum 'Cd1 Fe2 Cl1'
_cell_length_a 2.916
_cell_length_b 4.197
_cell_length_c 6.313
_cell_angle_alpha 90.01
_cell_angle_beta 90.00
_cell_angle_gamma 90.00
_space_group_name_H-M_alt 'P 1'
_space_group_IT_number 1
loop_
_space_group_symop_operation_xyz
'x,y,z'
loop_
_atom_site_label
_atom_site_type_symbol
_atom_site_fract_x
_atom_site_fract_y
_atom_site_fract_z
Fe1 Fe 0.000 0.750 0.436
Fe2 Fe 0.000 0.750 0.064
Cd1 Cd 0.500 0.250 0.250
Cl1 Cl 0.500 0.750 0.750
```

The uncorrected formation energy is 0.2308 eV per atom. Its energy relative to the lowest polymorph listed for this composition is 149 meV/atom.

Record 6
An optimized crystal structure of CoSbBr2. Source: the Alexandria database, functional PBE.

```
data_CoSbBr2
_chemical_formula_sum 'Co1 Sb1 Br2'
_cell_length_a 9.279
_cell_length_b 9.279
_cell_length_c 9.279
_cell_angle_alpha 22.01
_cell_angle_beta 22.01
_cell_angle_gamma 22.01
_space_group_name_H-M_alt 'P 1'
_space_group_IT_number 1
loop_
_space_group_symop_operation_xyz
'x,y,z'
loop_
_atom_site_label
_atom_site_type_symbol
_atom_site_fract_x
_atom_site_fract_y
_atom_site_fract_z
Sb1 Sb 0.750 0.750 0.750
Co1 Co 0.250 0.250 0.250
Br1 Br 0.973 0.973 0.973
Br2 Br 0.527 0.527 0.527
```

The uncorrected formation energy is 0.0994 eV per atom. Its energy relative to the lowest polymorph listed for this composition is 234 meV/atom.

Record 7
An optimized crystal structure of CeNdLuHg. Source: the Alexandria database, functional PBE.

```
data_CeNdLuHg
_chemical_formula_sum 'Ce1 Nd1 Lu1 Hg1'
_cell_length_a 5.471
_cell_length_b 5.471
_cell_length_c 5.471
_cell_angle_alpha 60.00
_cell_angle_beta 60.00
_cell_angle_gamma 60.00
_space_group_name_H-M_alt 'P 1'
_space_group_IT_number 1
loop_
_space_group_symop_operation_xyz
'x,y,z'
loop_
_atom_site_label
_atom_site_type_symbol
_atom_site_fract_x
_atom_site_fract_y
_atom_site_fract_z
Lu1 Lu 0.000 0.000 0.000
Nd1 Nd 0.250 0.250 0.250
Hg1 Hg 0.500 0.500 0.500
Ce1 Ce 0.750 0.750 0.750
```

The uncorrected energy is -0.144 Ha/atom.

Record 8
An optimized crystal structure of Zr3NbNi. Source: the Alexandria database, functional PBE.

```
data_Zr3NbNi
_chemical_formula_sum 'Zr3 Nb1 Ni1'
_cell_length_a 5.041
_cell_length_b 5.041
_cell_length_c 5.041
_cell_angle_alpha 90.00
_cell_angle_beta 90.00
_cell_angle_gamma 90.00
_space_group_name_H-M_alt 'P 1'
_space_group_IT_number 1
loop_
_space_group_symop_operation_xyz
'x,y,z'
loop_
_atom_site_label
_atom_site_type_symbol
_atom_site_fract_x
_atom_site_fract_y
_atom_site_fract_z
Zr1 Zr 0.000 0.000 0.500
Ni1 Ni 0.500 0.500 0.500
Zr2 Zr 0.000 0.500 0.000
Nb1 Nb 0.000 0.000 0.000
Zr3 Zr 0.500 0.000 0.000
```

Its energy relative to the lowest polymorph listed for this composition is 730 meV/atom.

Record 9
An optimized crystal structure of CoPPt2. Source: the Alexandria database, functional PBE.

```
data_CoPPt2
_chemical_formula_sum 'Co1 P1 Pt2'
_cell_length_a 4.534
_cell_length_b 4.534
_cell_length_c 2.759
_cell_angle_alpha 90.00
_cell_angle_beta 90.00
_cell_angle_gamma 90.00
_space_group_name_H-M_alt 'P 1'
_space_group_IT_number 1
loop_
_space_group_symop_operation_xyz
'x,y,z'
loop_
_atom_site_label
_atom_site_type_symbol
_atom_site_fract_x
_atom_site_fract_y
_atom_site_fract_z
Pt1 Pt 0.000 0.000 0.000
P1 P 0.000 0.500 0.500
Pt2 Pt 0.500 0.500 0.000
Co1 Co 0.500 0.000 0.500
```

The uncorrected energy is -0.223 Ha/atom.

Record 10
An optimized crystal structure of KCa2. Source: the Alexandria database, functional PBE.

```
data_KCa2
_chemical_formula_sum 'K2 Ca4'
_cell_length_a 7.661
_cell_length_b 7.661
_cell_length_c 7.661
_cell_angle_alpha 60.00
_cell_angle_beta 60.00
_cell_angle_gamma 60.00
_space_group_name_H-M_alt 'P 1'
_space_group_IT_number 1
loop_
_space_group_symop_operation_xyz
'x,y,z'
loop_
_atom_site_label
_atom_site_type_symbol
_atom_site_fract_x
_atom_site_fract_y
_atom_site_fract_z
Ca1 Ca 0.625 0.125 0.625
Ca2 Ca 0.125 0.625 0.625
Ca3 Ca 0.625 0.625 0.625
Ca4 Ca 0.625 0.625 0.125
K1 K 0.250 0.250 0.250
K2 K 0.000 0.000 0.000
```

The uncorrected energy is -0.056 Ha/atom.

Record 11
An optimized crystal structure of BeAg2Br4. Source: the Alexandria database, functional PBE.

```
data_BeAg2Br4
_chemical_formula_sum 'Be1 Ag2 Br4'
_cell_length_a 6.705
_cell_length_b 6.705
_cell_length_c 6.997
_cell_angle_alpha 118.63
_cell_angle_beta 118.63
_cell_angle_gamma 90.00
_space_group_name_H-M_alt 'P 1'
_space_group_IT_number 1
loop_
_space_group_symop_operation_xyz
'x,y,z'
loop_
_atom_site_label
_atom_site_type_symbol
_atom_site_fract_x
_atom_site_fract_y
_atom_site_fract_z
Ag1 Ag 0.000 0.500 0.000
Br1 Br 0.933 0.933 0.249
Ag2 Ag 0.500 0.000 0.000
Br2 Br 0.067 0.684 0.751
Br3 Br 0.684 0.067 0.751
Br4 Br 0.316 0.316 0.249
Be1 Be 0.000 0.000 0.000
```

The uncorrected formation energy is -0.6000 eV per atom.

Record 12
An optimized crystal structure of In2BiO5. Source: the Alexandria database, functional PBE.

```
data_In2BiO5
_chemical_formula_sum 'In4 Bi2 O10'
_cell_length_a 5.782
_cell_length_b 6.269
_cell_length_c 7.832
_cell_angle_alpha 108.42
_cell_angle_beta 90.00
_cell_angle_gamma 117.46
_space_group_name_H-M_alt 'P 1'
_space_group_IT_number 1
loop_
_space_group_symop_operation_xyz
'x,y,z'
loop_
_atom_site_label
_atom_site_type_symbol
_atom_site_fract_x
_atom_site_fract_y
_atom_site_fract_z
O1 O 0.423 0.153 0.942
In1 In 0.640 0.265 0.218
O2 O 0.032 0.378 0.159
Bi1 Bi 0.000 0.000 0.500
Bi2 Bi 0.000 0.000 0.000
O3 O 0.968 0.622 0.841
O4 O 0.270 0.847 0.558
O5 O 0.653 0.622 0.341
O6 O 0.577 0.847 0.058
O7 O 0.347 0.378 0.659
O8 O 0.730 0.153 0.442
O9 O 0.794 0.000 0.750
O10 O 0.206 0.000 0.250
In2 In 0.375 0.735 0.282
In3 In 0.625 0.265 0.718
In4 In 0.360 0.735 0.782
```

The uncorrected formation energy is -1.2944 eV per atom.

Record 13
An optimized crystal structure of SrLi2Ru. Source: the Alexandria database, functional PBE.

```
data_SrLi2Ru
_chemical_formula_sum 'Sr1 Li2 Ru1'
_cell_length_a 6.153
_cell_length_b 6.153
_cell_length_c 6.153
_cell_angle_alpha 149.70
_cell_angle_beta 130.41
_cell_angle_gamma 59.22
_space_group_name_H-M_alt 'P 1'
_space_group_IT_number 1
loop_
_space_group_symop_operation_xyz
'x,y,z'
loop_
_atom_site_label
_atom_site_type_symbol
_atom_site_fract_x
_atom_site_fract_y
_atom_site_fract_z
Ru1 Ru 0.750 0.250 0.500
Li1 Li 0.546 0.546 0.000
Sr1 Sr 0.250 0.750 0.500
Li2 Li 0.954 0.954 0.000
```

Its energy relative to the lowest polymorph listed for this composition is 16 meV/atom.

Record 14
An optimized crystal structure of K5S2N2. Source: the Alexandria database, functional PBE.

```
data_K5S2N2
_chemical_formula_sum 'K5 S2 N2'
_cell_length_a 8.416
_cell_length_b 4.946
_cell_length_c 9.236
_cell_angle_alpha 74.47
_cell_angle_beta 62.04
_cell_angle_gamma 90.00
_space_group_name_H-M_alt 'P 1'
_space_group_IT_number 1
loop_
_space_group_symop_operation_xyz
'x,y,z'
loop_
_atom_site_label
_atom_site_type_symbol
_atom_site_fract_x
_atom_site_fract_y
_atom_site_fract_z
K1 K 0.560 0.189 0.623
S1 S 0.198 0.200 0.599
N1 N 0.578 0.524 0.953
N2 N 0.422 0.476 0.047
K2 K 0.936 0.661 0.679
S2 S 0.802 0.800 0.401
K3 K 0.064 0.339 0.321
K4 K 0.000 0.000 0.000
K5 K 0.440 0.811 0.377
```

The uncorrected formation energy is -0.6590 eV per atom.